(1)
KRh2BrN | PBEsol | optimized geometry

Calculated values
Final energy: -5.444 eV/atom
Density of states at the Fermi level: 7.65 states/eV/f.u.
Calculated volume: 20.96 A^3/atom
Uncorrected formation energy: 11 kJ per mole of atoms
Total magnetic moment: 0.9 μB per cell

Lattice parameters (Å, degrees): 3.9216 3.9216 6.8146 90.00 90.00 90.00
Space group P4/mmm (No. 123)
Symmetry-distinct sites (fractional):
K1 0.0000 0.0000 0.0000 x1
Rh1 0.0000 0.5000 0.5000 x2
Br1 0.5000 0.5000 0.0000 x1
N1 0.5000 0.5000 0.5000 x1



(2)
K2NaNdBr6 | PBEsol | optimized geometry

Calculated values
Final energy: -3.702 eV/atom
Density of states at the Fermi level: 0.00 states/eV/f.u.
Calculated volume: 36.03 A^3/atom
Uncorrected formation energy: -164 kJ per mole of atoms
Total magnetic moment: 0.0 μB per cell

Lattice parameters (Å, degrees): 11.2953 11.2953 11.2953 90.00 90.00 90.00
Space group Fm-3m (No. 225)
Symmetry-distinct sites (fractional):
K1 0.2500 0.2500 0.2500 x8
Na1 0.0000 0.0000 0.0000 x4
Nd1 0.0000 0.0000 0.5000 x4
Br1 0.0000 0.0000 0.2493 x24



(3)
KNaPbBr2 | PBEsol | optimized geometry

Calculated values
Final energy: -2.454 eV/atom
Density of states at the Fermi level: 1.34 states/eV/f.u.
Calculated volume: 46.57 A^3/atom
Uncorrected formation energy: -39 kJ per mole of atoms
Total magnetic moment: 0.0 μB per cell

Lattice parameters (Å, degrees): 5.9413 5.9413 6.5962 90.00 90.00 90.00
Space group P4/mmm (No. 123)
Symmetry-distinct sites (fractional):
K1 0.0000 0.0000 0.0000 x1
Na1 0.5000 0.5000 0.0000 x1
Pb1 0.0000 0.0000 0.5000 x1
Br1 0.0000 0.5000 0.5000 x2



(4)
KNa2SnBr | PBEsol | optimized geometry

Calculated values
Final energy: -1.617 eV/atom
Density of states at the Fermi level: 2.60 states/eV/f.u.
Calculated volume: 51.48 A^3/atom
Uncorrected formation energy: 38 kJ per mole of atoms
Total magnetic moment: 1.9 μB per cell

Lattice parameters (Å, degrees): 6.5489 6.5489 6.0015 90.00 90.00 90.00
Space group P4/mmm (No. 123)
Symmetry-distinct sites (fractional):
K1 0.0000 0.0000 0.0000 x1
Na1 0.0000 0.5000 0.0000 x2
Sn1 0.0000 0.0000 0.5000 x1
Br1 0.5000 0.5000 0.5000 x1



(5)
K2NaTlBr6 | PBEsol | optimized geometry

Calculated values
Final energy: -2.887 eV/atom
Calculated volume: 33.88 A^3/atom
Uncorrected formation energy: -110 kJ per mole of atoms
Total magnetic moment: 0.0 μB per cell

Lattice parameters (Å, degrees): 11.0658 11.0658 11.0658 90.00 90.00 90.00
Space group Fm-3m (No. 225)
Symmetry-distinct sites (fractional):
K1 0.2500 0.2500 0.2500 x8
Na1 0.0000 0.0000 0.0000 x4
Tl1 0.0000 0.0000 0.5000 x4
Br1 0.0000 0.0000 0.2542 x24



(6)
KSrNbBr2 | PBEsol | optimized geometry

Calculated values
Final energy: -2.910 eV/atom
Density of states at the Fermi level: 4.53 states/eV/f.u.
Calculated volume: 41.47 A^3/atom
Uncorrected formation energy: 58 kJ per mole of atoms
Total magnetic moment: 4.6 μB per cell

Lattice parameters (Å, degrees): 5.6162 5.6162 6.5735 90.00 90.00 90.00
Space group P4/mmm (No. 123)
Symmetry-distinct sites (fractional):
K1 0.0000 0.0000 0.0000 x1
Sr1 0.0000 0.0000 0.5000 x1
Nb1 0.5000 0.5000 0.5000 x1
Br1 0.0000 0.5000 0.0000 x2